# 1
Below is an optimized crystal structure of La3Cl5, with properties calculated at the GGA-PBE level.

Summary:
density of states at the Fermi level = 7.17 states/eV per cell
E_form (uncorrected) = -1808 meV per atom

Lattice parameters (Å, degrees): 8.5621 8.5545 8.5605 100.79 100.83 128.61
Each line ends with the local moment (μB).
Sites, in units of the cell vectors:
La (0.7502, 0.7505, 0.9996)  0.04
La (0.2506, 0.2511, 0.0004)  0.04
La (0.3222, 0.1760, 0.5000)  0.01
La (0.6738, 0.8208, 0.5000)  0.01
La (0.1728, 0.6733, 0.8505)  0.34
La (0.8226, 0.3230, 0.1494)  0.34
Cl (0.2502, 0.7507, 0.5001)  0.01
Cl (0.7499, 0.2501, 0.5000)  0.00
Cl (0.7928, 0.0562, 0.8484)  0.01
Cl (0.2075, 0.9450, 0.1515)  0.01
Cl (0.7074, 0.5570, 0.2634)  0.00
Cl (0.2928, 0.4441, 0.7366)  0.00
Cl (0.5559, 0.2934, 0.8484)  0.01
Cl (0.4444, 0.7077, 0.1516)  0.01
Cl (0.0558, 0.2070, 0.2634)  0.00
Cl (0.9445, 0.7942, 0.7366)  0.00

# 2
Below is an optimized crystal structure of La3Cl, with properties calculated at the GGA-PBE level.

Summary:
polymorph energy (0 for the lowest one) = 4.07 kcal/mol of atoms
density of states at the Fermi level = 4.94 states/eV per cell
E_form (uncorrected) = -559 meV per atom

Lattice parameters (Å, degrees): 7.4485 7.4485 5.2231 69.44 69.44 27.28
Each line ends with the local moment (μB).
Sites, in units of the cell vectors:
Cl (0.0000, 0.0000, 0.0000)  0.00
La (0.5000, 0.5000, 0.5000)  0.09
La (0.7045, 0.7045, 0.7954)  0.01
La (0.2955, 0.2955, 0.2046)  0.01

# 3
Below is an optimized crystal structure of LaCl3, with properties calculated at the GGA-PBE level.

Summary:
density of states at the Fermi level = 0.00 states/eV per cell
E_form (uncorrected) = -2315 meV per atom

Lattice parameters (Å, degrees): 6.2381 6.2381 6.2381 143.06 116.28 75.99
Sites, in units of the cell vectors:
Cl (0.7274, 0.6763, 0.0511)
Cl (0.3749, 0.3237, 0.0511)
Cl (0.0158, 0.5000, 0.5158)
La (0.7152, 0.0000, 0.7152)

# 4
Below is an optimized crystal structure of LaCl3, with properties calculated at the GGA-PBE level.

Summary:
density of states at the Fermi level = 0.00 states/eV per cell
E_form (uncorrected) = -2340 meV per atom

Lattice parameters (Å, degrees): 4.3070 7.4037 7.3975 44.40 90.00 90.00
Sites, in units of the cell vectors:
Cl (0.0000, 0.1184, 0.1185)
Cl (0.5000, 0.7500, 0.7500)
Cl (0.0000, 0.3816, 0.3815)
La (0.5000, 0.2500, 0.2500)

# 5
Below is an optimized crystal structure of LaCl3, with properties calculated at the GGA-PBE level.

Summary:
density of states at the Fermi level = 0.00 states/eV per cell
E_form (uncorrected) = -2087 meV per atom

Lattice parameters (Å, degrees): 4.4919 4.4922 6.4677 90.00 90.00 90.00
Sites, in units of the cell vectors:
Cl (0.0000, 0.0000, 0.9979)
Cl (0.5000, 0.0000, 0.4307)
Cl (0.5000, 0.5000, 0.9978)
La (0.0000, 0.5000, 0.2402)

# 6
Below is an optimized crystal structure of La5Cl, with properties calculated at the GGA-PBE level.

Summary:
polymorph energy (0 for the lowest one) = 12.49 kcal/mol of atoms
density of states at the Fermi level = 10.09 states/eV per cell
E_form (uncorrected) = 142 meV per atom

Lattice parameters (Å, degrees): 6.7339 6.7339 6.7339 60.00 60.00 60.00
Sites, in units of the cell vectors:
La (0.2500, 0.2500, 0.2500)
La (0.6186, 0.6186, 0.6186)
La (0.6186, 0.6186, 0.1442)
La (0.1442, 0.6186, 0.6186)
La (0.6186, 0.1442, 0.6186)
Cl (0.0000, 0.0000, 0.0000)

# 7
Below is an optimized crystal structure of LaCl3, with properties calculated at the GGA-PBE level.

Summary:
density of states at the Fermi level = 0.07 states/eV per cell
E_form (uncorrected) = -1809 meV per atom

Lattice parameters (Å, degrees): 3.9774 3.9774 5.9952 90.00 90.00 89.97
Sites, in units of the cell vectors:
Cl (0.0000, 0.0000, 0.0147)
Cl (0.5000, 0.5000, 0.7500)
Cl (0.0000, 0.0000, 0.4853)
La (0.5000, 0.5000, 0.2500)

# 8
Below is an optimized crystal structure of LaCl3, with properties calculated at the GGA-PBE level.

Summary:
density of states at the Fermi level = 0.00 states/eV per cell
E_form (uncorrected) = -2030 meV per atom

Lattice parameters (Å, degrees): 5.0407 5.0407 5.0407 60.01 60.01 60.01
Sites, in units of the cell vectors:
Cl (0.0000, 0.0000, 0.0000)
Cl (0.7500, 0.7500, 0.7500)
Cl (0.2500, 0.2500, 0.2500)
La (0.5000, 0.5000, 0.5000)

Question: Number 3 is which compound?
Answer: LaCl3